No. 1
The following is a PBE-GGA calculation of Ba2ScTiPd after structural relaxation, from Alexandria via LeMat-Bulk.

## Properties
Crystal system ... tetragonal
Magnetization ... 0.26 μB/f.u.
Theoretical density ... 4.1 g/cm3
Formation energy from the elements ... 2.62 eV/f.u.
Raw total energy ... -4.129 eV per atom

a = 6.1537 Å, b = 6.1537 Å, c = 5.1118 Å
α = 90.00°, β = 90.00°, γ = 90.00°
Closest atoms and distances in Å follow each position.
Space group P4/mmm (No. 123)
Asymmetric unit:
Ba: 0.0000 0.5000 0.0000  2 Pd 3.08
Sc: 0.0000 0.0000 0.5000  2 Pd 2.56
Ti: 0.5000 0.5000 0.5000  8 Ba 4.00, 4 Sc 4.35
Pd: 0.0000 0.0000 0.0000  2 Sc 2.56

No. 2
The following is a PBE-GGA calculation of BaY2ScPd after structural relaxation, from Alexandria via LeMat-Bulk.

## Properties
Crystal system ... tetragonal
Magnetization ... 0.00 μB/f.u.
Theoretical density ... 4.6 g/cm3
Formation energy from the elements ... -0.81 eV/f.u.
Raw total energy ... -5.437 eV per atom

a = 5.5789 Å, b = 5.5789 Å, c = 5.3739 Å
α = 90.00°, β = 90.00°, γ = 90.00°
Closest atoms and distances in Å follow each position.
Space group P4/mmm (No. 123)
Asymmetric unit:
Ba: 0.0000 0.0000 0.0000  8 Y 3.87, 4 Sc 3.94
Y: 0.0000 0.5000 0.5000  2 Pd 2.79
Sc: 0.5000 0.5000 0.0000  2 Pd 2.69
Pd: 0.5000 0.5000 0.5000  2 Sc 2.69, 4 Y 2.79

No. 3
The following is a PBE-GGA calculation of BaPdSe after structural relaxation, from Alexandria via LeMat-Bulk.

## Properties
Crystal system ... tetragonal
Magnetization ... 0.00 μB/f.u.
Theoretical density ... 6.3 g/cm3
Formation energy (no corrections) ... -751 meV/atom
Raw total energy ... -4.285 eV per atom

a = 5.2812 Å, b = 5.2812 Å, c = 6.0969 Å
α = 90.00°, β = 90.00°, γ = 90.00°
Closest atoms and distances in Å follow each position.
Space group P4/nmm (No. 129, origin choice 2)
Asymmetric unit:
Ba: 0.2500 0.2500 0.1806  2 Pd 3.05, 4 Se 3.28
Pd: 0.2500 0.2500 0.6800  4 Se 2.86, 2 Ba 3.05
Se: 0.2500 0.7500 0.5000  4 Pd 2.86

No. 4
The following is a PBE-GGA calculation of BaPdSe after structural relaxation, from Alexandria via LeMat-Bulk.

## Properties
Crystal system ... tetragonal
Magnetization ... 0.00 μB/f.u.
Theoretical density ... 6.7 g/cm3
Formation energy (no corrections) ... -1234 meV/atom
Raw total energy ... -4.768 eV per atom

a = 4.4996 Å, b = 4.4996 Å, c = 15.7323 Å
α = 90.00°, β = 90.00°, γ = 90.00°
Closest atoms and distances in Å follow each position.
Space group I4_1md (No. 109)
Asymmetric unit:
Ba: 0.0000 0.0000 0.0000  6 Se 3.44-3.45, 6 Pd 3.44-3.45
Pd: 0.0000 0.0000 0.5842  3 Se 2.59-2.64
Se: 0.0000 0.0000 0.4163  3 Pd 2.59-2.64

No. 5
The following is a PBE-GGA calculation of BaPdSe after structural relaxation, from Alexandria via LeMat-Bulk.

## Properties
Crystal system ... triclinic
Magnetization ... 0.00 μB/f.u.
Theoretical density ... 5.8 g/cm3
Formation energy (no corrections) ... -1155 meV/atom
Raw total energy ... -4.689 eV per atom

a = 4.8319 Å, b = 5.3213 Å, c = 8.3788 Å
α = 102.46°, β = 90.00°, γ = 116.93°
Closest atoms and distances in Å follow each position.
Space group P1 (No. 1)
Asymmetric unit:
Ba: 0.0000 0.0000 0.0000  1 Pd 3.13, 5 Se 3.30-3.46
Ba: 0.2102 0.4206 0.5559  3 Pd 3.01-3.09, 2 Se 3.31
Pd: 0.5033 0.0054 0.4758  2 Se 2.44-2.55
Pd: 0.8713 0.7407 0.3096  2 Se 2.58
Se: 0.3461 0.6905 0.1990  3 Pd 2.44-2.58
Se: 0.6210 0.2422 0.7837  1 Pd 2.55

No. 6
The following is a PBE-GGA calculation of BaPd3Se3 after structural relaxation, from Alexandria via LeMat-Bulk.

## Properties
Crystal system ... cubic
Magnetization ... 0.00 μB/f.u.
Theoretical density ... 6.6 g/cm3
Formation energy (no corrections) ... -644 meV/atom
Raw total energy ... -4.638 eV per atom

a = 7.0411 Å, b = 7.0411 Å, c = 7.0411 Å
α = 90.00°, β = 90.00°, γ = 90.00°
Closest atoms and distances in Å follow each position.
Space group Pm-3n (No. 223)
Asymmetric unit:
Ba: 0.0000 0.0000 0.0000  12 Se 3.94, 12 Pd 3.94
Pd: 0.0000 0.2500 0.5000  4 Se 2.49
Se: 0.0000 0.5000 0.2500  4 Pd 2.49